1.
{
  "formula": "GdMgZn",
  "functional": "GGA-PBE",
  "state": "relaxed",
  "dft_energy_ev_per_cell": -31.316,
  "space_group": "P1 (1)",
  "cell": [[-2.447, 0.035, -5.762], [1.913, -4.522, -4.275], [-5.554, -4.861, 2.666]],
  "species": ["Gd", "Gd", "Gd", "Gd", "Mg", "Mg", "Mg", "Mg", "Zn", "Zn", "Zn", "Zn"],
  "frac_coords": [[0.519, 0.848, 0.396], [0.147, 0.436, 0.729], [0.718, 0.148, 0.077], [0.991, 0.994, 0.674], [0.600, 0.519, 0.731], [0.312, 0.713, 0.029], [0.085, 0.702, 0.334], [0.980, 0.308, 0.362], [0.544, 0.950, 0.791], [0.528, 0.318, 0.433], [0.210, 0.168, 0.051], [0.819, 0.617, 0.059]]
}



2.
{
  "formula": "KZrTl",
  "functional": "GGA-PBE",
  "state": "relaxed",
  "relative_energy_mev_per_atom": 0,
  "dft_energy_ev_per_cell": -9.460,
  "space_group": "F-43m (216)",
  "cell": [[0.000, 3.722, 3.722], [3.722, 0.000, 3.722], [3.722, 3.722, 0.000]],
  "species": ["Tl", "Zr", "K"],
  "frac_coords": [[0.000, 0.000, 0.000], [0.750, 0.750, 0.750], [0.250, 0.250, 0.250]]
}



3.
{
  "formula": "PrSmTe4",
  "functional": "GGA-PBE",
  "state": "relaxed",
  "dft_energy_ev_per_cell": -29.568,
  "space_group": "P4mm (99)",
  "cell": [[-1.962, 2.964, -2.768], [-3.351, -2.917, -0.748], [-4.638, 3.520, 7.055]],
  "species": ["Pr", "Te", "Te", "Te", "Te", "Sm"],
  "frac_coords": [[0.500, 0.500, 0.729], [0.000, 0.000, 0.627], [0.000, 0.500, 0.003], [0.500, 0.500, 0.367], [0.500, 0.000, 0.003], [0.000, 0.000, 0.272]]
}